--- 1 ---
# RbReTe2

A geometry-optimized RbReTe2 structure (PBE-GGA, Alexandria via LeMat-Bulk).

Geometry as CIF:
```
data_RbReTe2
_chemical_formula_sum 'Rb3 Re3 Te6'
_cell_length_a 3.3592
_cell_length_b 3.3592
_cell_length_c 33.0260
_cell_angle_alpha 90.00
_cell_angle_beta 90.00
_cell_angle_gamma 120.00
_space_group_name_H-M_alt 'R -3 m'
_space_group_IT_number 166
_space_group_name_Hall '-R 3 2"'
loop_
_atom_site_label
_atom_site_fract_x
_atom_site_fract_y
_atom_site_fract_z
Rb1 0.0000 0.0000 0.0000
Re1 0.0000 0.0000 0.5000
Te1 0.0000 0.0000 0.4226
```

- N(E_F): 9.4 states/eV per cell
- Volume: 322.75 Å³/cell


--- 2 ---
# RbReTe2

A geometry-optimized RbReTe2 structure (PBE-GGA, Alexandria via LeMat-Bulk).

Geometry as CIF:
```
data_RbReTe2
_chemical_formula_sum 'Rb3 Re3 Te6'
_cell_length_a 4.0058
_cell_length_b 4.0058
_cell_length_c 30.3606
_cell_angle_alpha 90.00
_cell_angle_beta 90.00
_cell_angle_gamma 120.00
_space_group_name_H-M_alt 'R -3 m'
_space_group_IT_number 166
_space_group_name_Hall '-R 3 2"'
loop_
_atom_site_label
_atom_site_fract_x
_atom_site_fract_y
_atom_site_fract_z
Rb1 0.0000 0.0000 0.0000
Re1 0.0000 0.0000 0.5000
Te1 0.0000 0.0000 0.1172
```

- N(E_F): 10.6 states/eV per cell
- Volume: 421.91 Å³/cell


Which of them is the most stable, and which is the least stable? 2 and 1, in that order.


--- 1 ---
# RbTi2Re

A geometry-optimized RbTi2Re structure (PBE-GGA, Alexandria via LeMat-Bulk).

Geometry as CIF:
```
data_RbTi2Re
_chemical_formula_sum 'Rb4 Ti8 Re4'
_cell_length_a 6.741
_cell_length_b 6.741
_cell_length_c 6.741
_cell_angle_alpha 90.00
_cell_angle_beta 90.00
_cell_angle_gamma 90.00
_space_group_name_H-M_alt 'F m -3 m'
_space_group_IT_number 225
_space_group_name_Hall '-F 4 2 3'
loop_
_atom_site_label
_atom_site_fract_x
_atom_site_fract_y
_atom_site_fract_z
Rb1 0.000 0.000 0.000
Ti1 0.250 0.250 0.250
Re1 0.000 0.000 0.500
```

- N(E_F): 21.2 states/eV per cell
- Volume: 306.28 Å³/cell


--- 2 ---
# RbTi2Re

A geometry-optimized RbTi2Re structure (PBE-GGA, Alexandria via LeMat-Bulk).

Geometry as CIF:
```
data_RbTi2Re
_chemical_formula_sum 'Rb4 Ti8 Re4'
_cell_length_a 6.503
_cell_length_b 6.503
_cell_length_c 13.587
_cell_angle_alpha 90.00
_cell_angle_beta 90.00
_cell_angle_gamma 90.00
_space_group_name_H-M_alt 'I 41/a m d'
_space_group_IT_number 141
loop_
_space_group_symop_operation_xyz
'x,y,z'
'-x,-y,-z'
'-y+1/4,x+3/4,z+1/4'
'y+1/4,-x+3/4,-z+1/4'
'-x+1/2,-y,z+1/2'
'x+1/2,y,-z+1/2'
'y+1/4,-x+1/4,z+3/4'
'-y+1/4,x+1/4,-z+3/4'
'x,-y,-z'
'-x,y,z'
'-y+1/4,-x+1/4,-z+3/4'
'y+1/4,x+1/4,z+3/4'
'-x+1/2,y,-z+1/2'
'x+1/2,-y,z+1/2'
'y+1/4,x+3/4,-z+1/4'
'-y+1/4,-x+3/4,z+1/4'
'x+1/2,y+1/2,z+1/2'
'-x+1/2,-y+1/2,-z+1/2'
'-y+3/4,x+1/4,z+3/4'
'y+3/4,-x+1/4,-z+3/4'
'-x,-y+1/2,z'
'x,y+1/2,-z'
'y+3/4,-x+3/4,z+1/4'
'-y+3/4,x+3/4,-z+1/4'
'x+1/2,-y+1/2,-z+1/2'
'-x+1/2,y+1/2,z+1/2'
'-y+3/4,-x+3/4,-z+1/4'
'y+3/4,x+3/4,z+1/4'
'-x,y+1/2,-z'
'x,-y+1/2,z'
'y+3/4,x+1/4,-z+3/4'
'-y+3/4,-x+1/4,z+3/4'
loop_
_atom_site_label
_atom_site_fract_x
_atom_site_fract_y
_atom_site_fract_z
Rb1 0.000 0.250 0.375
Ti1 0.000 0.000 0.000
Re1 0.000 0.250 0.875
```

- N(E_F): 19.4 states/eV per cell
- Volume: 574.58 Å³/cell


Which of them is the most stable, and which is the least stable? 1 and 2, in that order.


--- 1 ---
# RbTi2TlRe

A geometry-optimized RbTi2TlRe structure (PBE-GGA, Alexandria via LeMat-Bulk).

Geometry as CIF:
```
data_RbTi2TlRe
_chemical_formula_sum 'Rb1 Ti2 Tl1 Re1'
_cell_length_a 5.282
_cell_length_b 5.282
_cell_length_c 5.977
_cell_angle_alpha 90.00
_cell_angle_beta 90.00
_cell_angle_gamma 90.00
_space_group_name_H-M_alt 'P 4/m m m'
_space_group_IT_number 123
_space_group_name_Hall '-P 4 2'
loop_
_atom_site_label
_atom_site_fract_x
_atom_site_fract_y
_atom_site_fract_z
Rb1 0.000 0.000 0.000
Ti1 0.000 0.500 0.500
Tl1 0.000 0.000 0.500
Re1 0.500 0.500 0.000
```

- N(E_F): 10.4 states/eV per cell
- Volume: 166.75 Å³/cell


--- 2 ---
# RbTi2TlRe

A geometry-optimized RbTi2TlRe structure (PBE-GGA, Alexandria via LeMat-Bulk).

Geometry as CIF:
```
data_RbTi2TlRe
_chemical_formula_sum 'Rb1 Ti2 Tl1 Re1'
_cell_length_a 4.910
_cell_length_b 4.910
_cell_length_c 5.523
_cell_angle_alpha 90.00
_cell_angle_beta 90.00
_cell_angle_gamma 90.00
_space_group_name_H-M_alt 'P 4/m m m'
_space_group_IT_number 123
_space_group_name_Hall '-P 4 2'
loop_
_atom_site_label
_atom_site_fract_x
_atom_site_fract_y
_atom_site_fract_z
Rb1 0.000 0.000 0.000
Ti1 0.000 0.500 0.500
Tl1 0.500 0.500 0.000
Re1 0.500 0.500 0.500
```

- N(E_F): 5.1 states/eV per cell
- Volume: 133.16 Å³/cell


Which of them is the most stable, and which is the least stable? 2 and 1, in that order.


--- 1 ---
# RbTlRe2

A geometry-optimized RbTlRe2 structure (PBE-GGA, Alexandria via LeMat-Bulk).

Geometry as CIF:
```
data_RbTlRe2
_chemical_formula_sum 'Rb4 Tl4 Re8'
_cell_length_a 6.982
_cell_length_b 6.982
_cell_length_c 6.982
_cell_angle_alpha 90.00
_cell_angle_beta 90.00
_cell_angle_gamma 90.00
_space_group_name_H-M_alt 'F m -3 m'
_space_group_IT_number 225
_space_group_name_Hall '-F 4 2 3'
loop_
_atom_site_label
_atom_site_fract_x
_atom_site_fract_y
_atom_site_fract_z
Rb1 0.000 0.000 0.000
Tl1 0.000 0.000 0.500
Re1 0.250 0.250 0.250
```

- N(E_F): 11.7 states/eV per cell
- Volume: 340.39 Å³/cell


--- 2 ---
# RbTlRe2

A geometry-optimized RbTlRe2 structure (PBE-GGA, Alexandria via LeMat-Bulk).

Geometry as CIF:
```
data_RbTlRe2
_chemical_formula_sum 'Rb4 Tl4 Re8'
_cell_length_a 8.518
_cell_length_b 8.518
_cell_length_c 5.403
_cell_angle_alpha 90.00
_cell_angle_beta 90.00
_cell_angle_gamma 90.00
_space_group_name_H-M_alt 'I -4 2 d'
_space_group_IT_number 122
_space_group_name_Hall 'I -4 2bw'
loop_
_atom_site_label
_atom_site_fract_x
_atom_site_fract_y
_atom_site_fract_z
Rb1 0.000 0.000 0.000
Tl1 0.000 0.000 0.500
Re1 0.207 0.250 0.625
```

- N(E_F): 18.5 states/eV per cell
- Volume: 392.07 Å³/cell


Which of them is the most stable, and which is the least stable? 2 and 1, in that order.


--- 1 ---
# Rb2TlRe

A geometry-optimized Rb2TlRe structure (PBE-GGA, Alexandria via LeMat-Bulk).

Geometry as CIF:
```
data_Rb2TlRe
_chemical_formula_sum 'Rb8 Tl4 Re4'
_cell_length_a 8.490
_cell_length_b 8.490
_cell_length_c 8.490
_cell_angle_alpha 90.00
_cell_angle_beta 90.00
_cell_angle_gamma 90.00
_space_group_name_H-M_alt 'F m -3 m'
_space_group_IT_number 225
_space_group_name_Hall '-F 4 2 3'
loop_
_atom_site_label
_atom_site_fract_x
_atom_site_fract_y
_atom_site_fract_z
Rb1 0.250 0.250 0.250
Tl1 0.000 0.000 0.000
Re1 0.000 0.000 0.500
```

- N(E_F): 10.9 states/eV per cell
- Volume: 611.93 Å³/cell


--- 2 ---
# Rb2TlRe

A geometry-optimized Rb2TlRe structure (PBE-GGA, Alexandria via LeMat-Bulk).

Geometry as CIF:
```
data_Rb2TlRe
_chemical_formula_sum 'Rb8 Tl4 Re4'
_cell_length_a 4.426
_cell_length_b 4.426
_cell_length_c 25.201
_cell_angle_alpha 90.00
_cell_angle_beta 90.00
_cell_angle_gamma 90.00
_space_group_name_H-M_alt 'I -4 2 d'
_space_group_IT_number 122
_space_group_name_Hall 'I -4 2bw'
loop_
_atom_site_label
_atom_site_fract_x
_atom_site_fract_y
_atom_site_fract_z
Rb1 0.247 0.250 0.125
Tl1 0.000 0.000 0.500
Re1 0.000 0.000 0.000
```

- N(E_F): 4.5 states/eV per cell
- Volume: 493.59 Å³/cell


Which of them is the most stable, and which is the least stable? 1 and 2, in that order.


--- 1 ---
# RbTl3Re

A geometry-optimized RbTl3Re structure (PBE-GGA, Alexandria via LeMat-Bulk).

Geometry as CIF:
```
data_RbTl3Re
_chemical_formula_sum 'Rb1 Tl3 Re1'
_cell_length_a 5.419
_cell_length_b 5.419
_cell_length_c 5.419
_cell_angle_alpha 90.00
_cell_angle_beta 90.00
_cell_angle_gamma 90.00
_space_group_name_H-M_alt 'P m -3 m'
_space_group_IT_number 221
_space_group_name_Hall '-P 4 2 3'
loop_
_atom_site_label
_atom_site_fract_x
_atom_site_fract_y
_atom_site_fract_z
Rb1 0.000 0.000 0.000
Tl1 0.000 0.500 0.500
Re1 0.500 0.500 0.500
```

- N(E_F): 3.8 states/eV per cell
- Volume: 159.16 Å³/cell


--- 2 ---
# RbTl3Re

A geometry-optimized RbTl3Re structure (PBE-GGA, Alexandria via LeMat-Bulk).

Geometry as CIF:
```
data_RbTl3Re
_chemical_formula_sum 'Rb1 Tl3 Re1'
_cell_length_a 6.214
_cell_length_b 6.214
_cell_length_c 6.214
_cell_angle_alpha 90.00
_cell_angle_beta 90.00
_cell_angle_gamma 90.00
_space_group_name_H-M_alt 'P m -3 m'
_space_group_IT_number 221
_space_group_name_Hall '-P 4 2 3'
loop_
_atom_site_label
_atom_site_fract_x
_atom_site_fract_y
_atom_site_fract_z
Rb1 0.000 0.000 0.000
Tl1 0.000 0.000 0.500
Re1 0.500 0.500 0.500
```

- N(E_F): 6.9 states/eV per cell
- Volume: 239.97 Å³/cell


Which of them is the most stable, and which is the least stable? 1 and 2, in that order.